(1)
Here is a relaxed ZnCoRe2 crystal from the Alexandria database. Energies are from GGA-PBE.

a b c (Å): 2.7112 3.8428 5.2560
angles (deg): 90.00 90.00 90.00
Closest atoms and distances in Å follow each position.
Atoms (fractional coordinates):
Zn1 0.0000 0.0000 0.0000  6 Re 2.57-2.76, 4 Co 2.60, 2 Zn 2.71
Co1 0.5000 0.5000 0.2122  6 Re 2.55-2.76, 4 Zn 2.60, 2 Co 2.71
Re1 0.0000 0.0000 0.4884  2 Zn 2.57-2.69, 6 Re 2.66-2.71, 4 Co 2.76
Re2 0.5000 0.5000 0.7269  2 Co 2.55-2.70, 6 Re 2.66-2.71, 4 Zn 2.76

Values from the calculation:
Total DFT energy (no corrections) ... -0.5989 Ry per atom
ΔE_f ... 0.17 eV per atom
Space-group type ... Pmm2 (25)

(2)
Here is a relaxed ZnCoRe2 crystal from the Alexandria database. Energies are from GGA-PBE.

a b c (Å): 4.2721 4.2721 4.2721
angles (deg): 60.00 60.00 60.00
Closest atoms and distances in Å follow each position.
Atoms (fractional coordinates):
Zn1 0.0000 0.0000 0.0000  4 Co 2.62, 4 Re 2.62
Co1 0.2500 0.2500 0.2500  4 Re 2.62, 4 Zn 2.62
Re1 0.5000 0.5000 0.5000  4 Co 2.62, 4 Re 2.62
Re2 0.7500 0.7500 0.7500  4 Re 2.62, 4 Zn 2.62

Values from the calculation:
Total DFT energy (no corrections) ... -0.5961 Ry per atom
ΔE_f ... 0.21 eV per atom
Space-group type ... F-43m (216)

(3)
Here is a relaxed ZnCoRe2 crystal from the Alexandria database. Energies are from GGA-PBE.

a b c (Å): 2.6366 4.1635 5.0405
angles (deg): 90.00 100.62 90.00
Closest atoms and distances in Å follow each position.
Atoms (fractional coordinates):
Zn1 0.0000 0.0000 0.0000  2 Co 2.38, 1 Re 2.61, 2 Zn 2.64
Co1 0.1069 0.5000 0.2317  2 Zn 2.38, 1 Re 2.57, 2 Co 2.64
Re1 0.4300 0.5000 0.7454  3 Co 2.57-2.75, 4 Re 2.61-2.64, 4 Zn 2.74-2.79
Re2 0.6658 0.0000 0.4803  3 Zn 2.61-2.72, 4 Re 2.61-2.64, 4 Co 2.72-2.79

Values from the calculation:
Total DFT energy (no corrections) ... -0.5994 Ry per atom
ΔE_f ... 0.16 eV per atom
Space-group type ... Pm (6)

(4)
Here is a relaxed ZnCoRe2 crystal from the Alexandria database. Energies are from GGA-PBE.

a b c (Å): 4.4930 4.4930 2.6873
angles (deg): 90.00 90.00 90.00
Closest atoms and distances in Å follow each position.
Atoms (fractional coordinates):
Zn1 0.0000 0.0000 0.0000  8 Re 2.62, 2 Zn 2.69
Co1 0.5000 0.5000 0.0000  8 Re 2.62, 2 Co 2.69
Re1 0.0000 0.5000 0.5000  4 Co 2.62, 4 Zn 2.62, 2 Re 2.69
Re2 0.5000 0.0000 0.5000  4 Co 2.62, 4 Zn 2.62, 2 Re 2.69

Values from the calculation:
Total DFT energy (no corrections) ... -0.5801 Ry per atom
ΔE_f ... 0.43 eV per atom
Space-group type ... P4/mmm (123)